Ca3SiPd3 | PBE-GGA | optimized geometry

Summary:
The value obtained for the magnetization is 0.00 Bohr magnetons per cell. The calculation puts the formation energy (no corrections) at -0.718 eV/atom.

a = 4.152 Å, b = 5.723 Å, c = 14.382 Å
α = 85.27°, β = 81.70°, γ = 68.73°
Fractional coordinates of all 14 atoms:
Ca 0.745 0.738 0.773
Ca 0.603 0.718 0.075
Ca 0.514 0.356 0.617
Ca 0.486 0.644 0.383
Ca 0.255 0.262 0.227
Ca 0.397 0.282 0.925
Pd 0.049 0.143 0.759
Pd 0.951 0.857 0.241
Pd 0.177 0.183 0.463
Pd 0.114 0.850 0.923
Pd 0.823 0.817 0.537
Pd 0.886 0.150 0.077
Si 0.229 0.928 0.613
Si 0.771 0.072 0.387